[1]
KHgN: optimized geometry, GGA-PBE.

Unit cell a=7.5381 b=7.5302 c=6.6932 alpha=63.69 beta=63.57 gamma=52.74
Last column: nearest neighbours and their distance in Å.
Element x y z (fractional)
K1 0.0018 0.0018 0.7482  4 N 2.77-2.93, 1 K 2.97
K2 0.2518 0.2518 0.9982  4 N 2.77-2.93, 1 K 2.97
K3 0.7482 0.7482 0.0018  4 N 2.77-2.93, 1 K 2.97
K4 0.9982 0.9982 0.2518  4 N 2.77-2.93, 1 K 2.97
Hg1 0.0000 0.5000 0.5000  2 N 2.15
Hg2 0.5000 0.0000 0.5000  2 N 2.15
Hg3 0.5000 0.5000 0.0000  2 N 2.15
Hg4 0.5000 0.5000 0.5000  2 N 2.15
N1 0.1410 0.6090 0.1410  2 Hg 2.15
N2 0.3910 0.8590 0.3910  2 Hg 2.15
N3 0.6090 0.1410 0.6090  2 Hg 2.15
N4 0.8590 0.3910 0.8590  2 Hg 2.15

Values from the calculation:
total moment: 0.0 μB per formula unit
formation energy from raw total energies: 1.2 eV per formula unit
calculated volume: 21.9 Å³/atom
calculated density: 6.417 g/cm3
symmetry: Fddd

***

[2]
CsLi2Hg2Br7: optimized geometry, GGA-PBE.

Unit cell a=13.0445 b=13.0445 c=13.0445 alpha=33.64 beta=33.64 gamma=33.64
Last column: nearest neighbours and their distance in Å.
Element x y z (fractional)
Cs1 0.0000 0.0000 0.0000  6 Br 3.67
Li1 0.4360 0.4360 0.4360  4 Br 2.36-2.64
Li2 0.5640 0.5640 0.5640  4 Br 2.36-2.64
Hg1 0.2607 0.2607 0.2607  3 Br 2.59
Hg2 0.7393 0.7393 0.7393  3 Br 2.59
Br1 0.0916 0.4109 0.7007  1 Hg 2.59, 1 Li 2.64
Br2 0.2993 0.5891 0.9084  1 Hg 2.59, 1 Li 2.64
Br3 0.4109 0.7007 0.0916  1 Hg 2.59, 1 Li 2.64
Br4 0.5000 0.5000 0.5000  2 Li 2.36
Br5 0.5891 0.9084 0.2993  1 Hg 2.59, 1 Li 2.64
Br6 0.7007 0.0916 0.4109  1 Hg 2.59, 1 Li 2.64
Br7 0.9084 0.2993 0.5891  1 Hg 2.59, 1 Li 2.64

Values from the calculation:
total moment: 0.1 μB per formula unit
formation energy from raw total energies: -11.7 eV per formula unit
calculated volume: 50.6 Å³/atom
calculated density: 3.029 g/cm3
symmetry: R32